# 1
Compound: NaSrY2Tl
Source: the Alexandria database
Functional: PBE
Structure: relaxed

```
NaSrY2Tl
1.0
-1.269 -3.702 -4.426
5.035 1.503 -2.701
2.786 -4.303 2.800
Y Na Sr Tl
2 1 1 1
Direct
0.500 0.000 0.000
0.000 0.500 0.000
0.000 0.000 0.500
0.500 0.500 0.500
0.000 0.000 0.000
```

Results
Energy of formation: 24 kJ per mole of atoms

# 2
Compound: Pm5HoMg6
Source: the Alexandria database
Functional: PBE
Structure: relaxed

```
Pm5HoMg6
1.0
5.160 -0.031 1.720
0.041 7.701 0.014
-0.002 -0.015 8.610
Mg Pm Ho
6 5 1
Direct
0.835 0.754 0.330
0.165 0.754 0.670
0.500 0.248 0.000
0.500 0.752 0.000
0.835 0.246 0.330
0.165 0.246 0.670
0.000 0.500 0.000
0.668 0.500 0.664
0.335 0.000 0.330
0.332 0.500 0.336
0.665 0.000 0.670
0.000 0.000 0.000
```

Results
Energy of formation: -10 kJ per mole of atoms

# 3
Compound: Pr4Sm5Dy2
Source: the Alexandria database
Functional: PBE
Structure: relaxed

```
Pr4Sm5Dy2
1.0
3.475 0.000 -0.848
-0.419 8.649 -1.719
1.131 1.519 12.184
Pr Sm Dy
4 5 2
Direct
0.726 0.825 0.452
0.959 0.655 0.919
0.274 0.175 0.548
0.041 0.345 0.081
0.130 0.046 0.260
0.816 0.525 0.631
0.184 0.475 0.369
0.500 0.000 0.000
0.870 0.954 0.740
0.413 0.302 0.825
0.587 0.698 0.175
```

Results
Excess energy over the best structure of this formula in the dataset: 0.000 eV/atom
Energy of formation: 10 kJ per mole of atoms

# 4
Compound: CsBi2C2
Source: the Alexandria database
Functional: PBE
Structure: relaxed

```
CsBi2C2
1.0
-4.527 2.369 -7.484
-1.574 -8.738 -1.814
-3.019 0.154 1.875
Bi C Cs
4 4 2
Direct
0.149 0.649 0.500
0.351 0.149 0.500
0.649 0.851 0.500
0.851 0.351 0.500
0.947 0.553 0.000
0.553 0.053 0.000
0.447 0.947 0.000
0.053 0.447 0.000
0.500 0.500 0.000
0.000 0.000 0.000
```

Results
Excess energy over the best structure of this formula in the dataset: 0.000 eV/atom
Energy of formation: 106 kJ per mole of atoms

# 5
Compound: CaDy2HoTl4
Source: the Alexandria database
Functional: PBE
Structure: relaxed

```
CaDy2HoTl4
1.0
5.388 0.000 0.000
2.694 4.667 0.000
2.694 1.556 8.818
Ca Tl Ho Dy
1 4 1 2
Direct
0.000 0.000 0.000
0.623 0.623 0.131
0.377 0.377 0.869
0.127 0.127 0.620
0.873 0.873 0.380
0.500 0.500 0.500
0.748 0.748 0.756
0.252 0.252 0.244
```

Results
Energy of formation: -34 kJ per mole of atoms

# 6
Compound: TbDyAgAu
Source: the Alexandria database
Functional: PBE
Structure: relaxed

```
TbDyAgAu
1.0
3.611 0.000 0.000
0.000 3.611 0.000
0.000 0.000 7.290
Ag Dy Tb Au
1 1 1 1
Direct
0.000 0.000 0.860
0.500 0.500 0.112
0.500 0.500 0.602
0.000 0.000 0.354
```

Results
Excess energy over the best structure of this formula in the dataset: 0.000 eV/atom
Energy of formation: -57 kJ per mole of atoms

# 7
Compound: HfTi2HgH
Source: the Alexandria database
Functional: PBE
Structure: relaxed

```
HfTi2HgH
1.0
4.219 0.000 0.000
0.000 4.219 0.000
0.000 0.000 4.283
H Ti Hf Hg
1 2 1 1
Direct
0.000 0.000 0.000
0.500 0.000 0.000
0.000 0.500 0.000
0.000 0.000 0.500
0.500 0.500 0.500
```

Results
Excess energy over the best structure of this formula in the dataset: 0.000 eV/atom

# 8
Compound: Ni6SbPt
Source: the Alexandria database
Functional: PBE
Structure: relaxed

```
Ni6SbPt
1.0
-2.639 -0.642 3.296
1.497 -4.983 0.229
2.552 3.614 2.747
Ni Sb Pt
6 1 1
Direct
0.000 0.590 0.410
0.000 0.590 0.930
0.000 0.070 0.410
0.500 0.421 0.085
0.500 0.915 0.085
0.500 0.915 0.579
0.500 0.417 0.583
0.000 0.083 0.917
```

Results
ΔE_f (raw): -0.097 eV/atom

# 9
Compound: ZrBRu3
Source: the Alexandria database
Functional: PBE
Structure: relaxed

```
ZrBRu3
1.0
-1.090 3.440 -3.969
-0.264 -5.336 -4.552
-7.583 -0.806 1.385
Zr Ru B
4 12 4
Direct
0.500 0.500 0.000
0.000 0.500 0.500
0.000 0.000 0.500
0.500 0.000 0.000
0.702 0.750 0.290
0.452 0.074 0.348
0.452 0.426 0.348
0.298 0.250 0.710
0.048 0.926 0.848
0.048 0.574 0.848
0.952 0.426 0.152
0.952 0.074 0.152
0.798 0.250 0.790
0.548 0.926 0.652
0.548 0.574 0.652
0.202 0.750 0.210
0.630 0.250 0.548
0.370 0.750 0.452
0.130 0.250 0.952
0.870 0.750 0.048
```

Results
Energy of formation: -12 kJ per mole of atoms

# 10
Compound: MgSb2F
Source: the Alexandria database
Functional: PBE
Structure: relaxed

```
MgSb2F
1.0
1.686 -2.194 4.028
-0.911 1.930 4.397
-3.102 -2.226 3.051
Sb Mg F
2 1 1
Direct
0.250 0.250 0.250
0.750 0.750 0.750
0.500 0.500 0.500
0.000 0.000 0.000
```

Results
ΔE_f (raw): -0.564 eV/atom
Excess energy over the best structure of this formula in the dataset: 0.054 eV/atom

# 11
Compound: Ga2Pd4Pt
Source: the Alexandria database
Functional: PBE
Structure: relaxed

```
Ga2Pd4Pt
1.0
-4.191 -3.225 -3.833
4.087 -1.819 -2.938
2.782 -3.237 5.873
Pd Pt Ga
8 2 4
Direct
0.561 0.004 0.222
0.890 0.250 0.076
0.439 0.996 0.778
0.017 0.250 0.494
0.110 0.750 0.924
0.983 0.750 0.506
0.561 0.496 0.222
0.439 0.504 0.778
0.735 0.250 0.658
0.265 0.750 0.342
0.686 0.750 0.625
0.805 0.750 0.084
0.314 0.250 0.375
0.195 0.250 0.916
```

Results
Excess energy over the best structure of this formula in the dataset: 0.000 eV/atom
Energy of formation: -38 kJ per mole of atoms

# 12
Compound: SrZrTl2
Source: the Alexandria database
Functional: PBE
Structure: relaxed

```
SrZrTl2
1.0
3.426 0.000 0.000
0.000 4.251 0.000
0.000 0.000 7.566
Sr Tl Zr
1 2 1
Direct
0.500 0.500 0.750
0.000 0.000 0.466
0.000 0.000 0.034
0.500 0.500 0.250
```

Results
Energy of formation: -13 kJ per mole of atoms